(1)
Computed, not measured: a PBEsol-optimized structure of SbBrCl2 at the meta-GGA SCAN level of DFT.

Energy relative to the lowest polymorph listed for this composition: 0.6429 eV per atom
Total magnetic moment: 0.00 μB/f.u.
Formation energy (no corrections): -101 meV per atom

Lattice parameters (Å, degrees): 4.7173 4.7173 18.4761 90.00 90.00 90.00
Closest atoms and distances in Å follow each position.
Space group I-42d (No. 122)
Unique sites:
Sb1 0.0000 0.0000 0.0000  4 Cl 2.75
Br1 0.0000 0.0000 0.5000  4 Cl 2.98
Cl1 0.1909 0.2500 0.1250  2 Sb 2.75, 2 Cl 2.97, 2 Br 2.98


(2)
Computed, not measured: a PBEsol-optimized structure of Bi3As2O10 at the meta-GGA SCAN level of DFT.

Total magnetic moment: 0.97 μB/f.u.
Formation energy (no corrections): -1223 meV per atom

Lattice parameters (Å, degrees): 6.9025 7.1514 9.4342 111.71 106.11 91.30
Closest atoms and distances in Å follow each position.
Space group P-1 (No. 2)
Unique sites:
Bi1 0.2041 0.3217 0.3991  4 O 2.22-2.44
Bi2 0.2325 0.1082 0.9862  4 O 2.18-2.36
Bi3 0.2653 0.7214 0.1888  7 O 2.25-2.50
As1 0.2342 0.4662 0.7907  4 O 1.71-1.72
As2 0.3107 0.8671 0.6002  4 O 1.70-1.72
O1 0.0525 0.4722 0.6267  1 As 1.72
O2 0.0986 0.9549 0.1166  3 Bi 2.18-2.27
O3 0.1131 0.3478 0.8780  1 As 1.72
O4 0.1178 0.8953 0.6827  1 As 1.70
O5 0.2146 0.3857 0.1881  3 Bi 2.22-2.42
O6 0.2619 0.9297 0.4352  1 As 1.72
O7 0.3548 0.6907 0.9472  1 As 1.72
O8 0.3901 0.6329 0.5446  1 As 1.71
O9 0.3965 0.3267 0.7013  1 As 1.71
O10 0.4792 0.0004 0.2387  1 As 1.72